The following is a PBE calculation of crystalline GdDyTlCd at its relaxed geometry, from Alexandria via LeMat-Bulk.

a = 7.562 Å, b = 7.562 Å, c = 7.562 Å
α = 90.00°, β = 90.00°, γ = 90.00°
Space group F-43m (No. 216)
Symmetry-distinct sites (fractional):
Gd 0.000 0.000 0.000 (multiplicity 4)
Dy 0.000 0.000 0.500 (multiplicity 4)
Tl 0.250 0.250 0.750 (multiplicity 4)
Cd 0.250 0.250 0.250 (multiplicity 4)

The value obtained for the calculated volume is 432 Å³ per cell. The formation energy is -361 meV/atom. Its magnetic moment is 7.92 μB per formula unit.



The following is a PBE calculation of crystalline Ba3HfTc at its relaxed geometry, from Alexandria via LeMat-Bulk.

a = 5.828 Å, b = 5.828 Å, c = 5.828 Å
α = 90.00°, β = 90.00°, γ = 90.00°
Space group Pm-3m (No. 221)
Symmetry-distinct sites (fractional):
Ba 0.000 0.000 0.500 (multiplicity 3)
Hf 0.500 0.500 0.500 (multiplicity 1)
Tc 0.000 0.000 0.000 (multiplicity 1)

The value obtained for the calculated volume is 198 Å³ per cell. Its energy above the most stable polymorph in this dataset is 0 meV/atom. The formation energy is 1154 meV/atom. Its magnetic moment is 0.02 μB per formula unit.



The following is a PBE calculation of crystalline ErAl3Fe at its relaxed geometry, from Alexandria via LeMat-Bulk.

a = 4.491 Å, b = 4.491 Å, c = 4.491 Å
α = 90.00°, β = 90.00°, γ = 90.00°
Space group Pm-3m (No. 221)
Symmetry-distinct sites (fractional):
Er 0.000 0.000 0.000 (multiplicity 1)
Al 0.000 0.500 0.500 (multiplicity 3)
Fe 0.500 0.500 0.500 (multiplicity 1)

The value obtained for the calculated volume is 91 Å³ per cell. Its energy above the most stable polymorph in this dataset is 57 meV/atom. The formation energy is -269 meV/atom. Its magnetic moment is 0.00 μB per formula unit.



The following is a PBE calculation of crystalline Mg2ZrTl at its relaxed geometry, from Alexandria via LeMat-Bulk.

a = 6.166 Å, b = 10.641 Å, c = 3.049 Å
α = 90.00°, β = 113.98°, γ = 90.00°
Space group C2/m (No. 12)
Symmetry-distinct sites (fractional):
Mg 0.250 0.250 0.000 (multiplicity 4)
Zr 0.000 0.000 0.500 (multiplicity 2)
Tl 0.000 0.500 0.500 (multiplicity 2)

The value obtained for the calculated volume is 183 Å³ per cell. Its energy above the most stable polymorph in this dataset is 119 meV/atom. The formation energy is 9 meV/atom. Its magnetic moment is 0.00 μB per formula unit.